1.
A plane-wave DFT calculation with PBE was carried out for a geometry-optimized TmCoCu structure.

Geometry as POSCAR:
```
TmCoCu
1.0
3.286 0.000 0.000
0.000 3.286 0.000
-1.643 -1.643 4.515
Cu Tm Co
1 1 1
Direct
0.260 0.260 0.519
0.955 0.955 0.909
0.636 0.636 0.271
```

The calculation puts the formation energy at -0.037 eV/atom. Its symmetry is I4mm. The magnetization comes out at 0.82 μB per formula unit. Its energy above the most stable polymorph in this dataset is 0.1858 eV per atom. Its volume is 16.250 Å³ per atom. The density of states at the Fermi level is 0.95 states/eV per atom.

***

2.
A plane-wave DFT calculation with PBE was carried out for a geometry-optimized SbIrOs2 structure.

Geometry as POSCAR:
```
SbIrOs2
1.0
-6.019 4.020 5.160
-4.924 2.122 7.090
-3.594 4.683 6.646
Os Ir Sb
2 1 1
Direct
0.253 0.253 0.253
0.998 0.998 0.998
0.749 0.749 0.749
0.500 0.500 0.500
```

Its symmetry is R3m. The magnetization comes out at 0.00 μB per formula unit. For the energy relative to the elements, uncorrected, the calculation gives 0.5317 eV/atom. Its volume is 16.109 Å³ per atom. The density of states at the Fermi level is 0.96 states/eV per atom.

***

> Which formula does entry 2 have?

SbIrOs2